A relaxed structure of ScTlNiOs, computed with PBE.

Results
DFT total energy = -24.2 eV/cell
Space group = F-43m

Cell lengths 4.574, 4.574, 4.574 Å; angles 60.00, 60.00, 60.00 degrees
Atoms (fractional coordinates):
Tl: 0.000 0.000 0.000
Sc: 0.250 0.250 0.250
Ni: 0.750 0.750 0.750
Os: 0.500 0.500 0.500